VASP calculation (GGA+U) on crystalline CoSnSeO at its relaxed geometry.

Cell lengths 4.290, 4.290, 8.175 Å; angles 90.00, 90.00, 90.00 degrees
Sites, in units of the cell vectors:
1 Co 0.500 0.500 0.658
2 O 0.000 0.000 0.106
3 Co 0.000 0.000 0.342
4 Se 0.500 0.000 0.500
5 Sn 0.000 0.000 0.853
6 Sn 0.500 0.500 0.147
7 O 0.500 0.500 0.894
8 Se 0.000 0.500 0.500

Computed properties:
- calculated volume (Å³/f.u.) = 75.2
- relative energy among the computed polymorphs (eV per formula unit) = 1.52
- total magnetization (μB per formula unit) = 2.22
- density (g/cm³) = 6.018
- raw total energy (eV per cell) = -37.41